# Al2SiPd (PBE, relaxed)
data_Al2SiPd
_chemical_formula_sum 'Al8 Si4 Pd4'
_symmetry_space_group_name_H-M 'I -4 2 d'
_symmetry_Int_Tables_number 122
_symmetry_space_group_name_Hall 'I -4 2bw'
_cell_length_a 5.487
_cell_length_b 5.487
_cell_length_c 12.125
_cell_angle_alpha 90.00
_cell_angle_beta 90.00
_cell_angle_gamma 90.00
loop_
_atom_site_label
_atom_site_type_symbol
_atom_site_fract_x
_atom_site_fract_y
_atom_site_fract_z
Al1 Al 0.249 0.250 0.125
Si1 Si 0.000 0.000 0.000
Pd1 Pd 0.000 0.000 0.500
# E (eV for the cell shown): -69.619
# Crystal system: tetragonal
# Magnetic moment (μB per formula unit): 0.00
# Formation energy from raw total energies (eV/f.u.): 0.696

***

# AlSi2Pd2 (PBE, relaxed)
data_AlSi2Pd2
_chemical_formula_sum 'Al2 Si4 Pd4'
_symmetry_space_group_name_H-M 'P 4/m b m'
_symmetry_Int_Tables_number 127
_symmetry_space_group_name_Hall '-P 4 2ab'
_cell_length_a 7.447
_cell_length_b 7.447
_cell_length_c 2.795
_cell_angle_alpha 90.00
_cell_angle_beta 90.00
_cell_angle_gamma 90.00
loop_
_atom_site_label
_atom_site_type_symbol
_atom_site_fract_x
_atom_site_fract_y
_atom_site_fract_z
Al1 Al 0.000 0.000 0.000
Si1 Si 0.162 0.338 0.500
Pd1 Pd 0.135 0.635 0.000
# E (eV for the cell shown): -52.086
# Crystal system: tetragonal
# Magnetic moment (μB per formula unit): 0.00
# Formation energy from raw total energies (eV/f.u.): -1.069

***

# AlSiPd (PBE, relaxed)
data_AlSiPd
_chemical_formula_sum 'Al4 Si4 Pd4'
_symmetry_space_group_name_H-M 'F -4 3 m'
_symmetry_Int_Tables_number 216
_symmetry_space_group_name_Hall 'F -4 2 3'
_cell_length_a 5.828
_cell_length_b 5.828
_cell_length_c 5.828
_cell_angle_alpha 90.00
_cell_angle_beta 90.00
_cell_angle_gamma 90.00
loop_
_atom_site_label
_atom_site_type_symbol
_atom_site_fract_x
_atom_site_fract_y
_atom_site_fract_z
Al1 Al 0.000 0.000 0.000
Si1 Si 0.000 0.000 0.500
Pd1 Pd 0.250 0.250 0.250
# E (eV for the cell shown): -63.265
# Crystal system: cubic
# Magnetic moment (μB per formula unit): 0.00
# Formation energy from raw total energies (eV/f.u.): -1.458

***

# Al2SiPd5 (PBE, relaxed)
data_Al2SiPd5
_chemical_formula_sum 'Al8 Si4 Pd20'
_symmetry_space_group_name_H-M 'C m c m'
_symmetry_Int_Tables_number 63
_symmetry_space_group_name_Hall '-C 2c 2'
_cell_length_a 3.981
_cell_length_b 13.851
_cell_length_c 11.716
_cell_angle_alpha 90.00
_cell_angle_beta 90.00
_cell_angle_gamma 90.00
loop_
_atom_site_label
_atom_site_type_symbol
_atom_site_fract_x
_atom_site_fract_y
_atom_site_fract_z
Al1 Al 0.000 0.126 0.078
Si1 Si 0.000 0.170 0.750
Pd1 Pd 0.000 0.048 0.611
Pd2 Pd 0.000 0.233 0.250
Pd3 Pd 0.000 0.260 0.579
# E (eV for the cell shown): -166.203
# Crystal system: orthorhombic
# Magnetic moment (μB per formula unit): 0.00
# Formation energy from raw total energies (eV/f.u.): -2.679